[1]
DFT (PBE) results for TlINO2 after structural relaxation. Values from VASP.

space-group type	No. 123
spin magnetization	0.0	Bohr magnetons per cell
formation energy from raw total energies	1159.9	meV/atom
raw total energy	-0.2405	Ry per atom

The structure in Quantum ESPRESSO input format:
```
&SYSTEM
  ibrav = 0, nat = 5, ntyp = 4
/
ATOMIC_SPECIES
I 126.90 I.upf
Tl 204.38 Tl.upf
O 16.00 O.upf
N 14.01 N.upf
CELL_PARAMETERS angstrom
4.2704 0.0000 0.0000
0.0000 4.2704 0.0000
0.0000 0.0000 4.1988
ATOMIC_POSITIONS crystal
I 0.0000 0.0000 0.5000
Tl 0.5000 0.5000 0.5000
O 0.0000 0.5000 0.0000
O 0.5000 0.0000 0.0000
N 0.0000 0.0000 0.0000
```

=====

[2]
DFT (PBE) results for TlIN2O after structural relaxation. Values from VASP.

space-group type	No. 123
spin magnetization	0.3	Bohr magnetons per cell
formation energy from raw total energies	1305.0	meV/atom
raw total energy	-0.2793	Ry per atom

The structure in Quantum ESPRESSO input format:
```
&SYSTEM
  ibrav = 0, nat = 5, ntyp = 4
/
ATOMIC_SPECIES
I 126.90 I.upf
Tl 204.38 Tl.upf
O 16.00 O.upf
N 14.01 N.upf
CELL_PARAMETERS angstrom
-2.2758 -1.1581 3.3044
1.0790 -3.9812 -0.6521
3.3239 0.4973 2.4636
ATOMIC_POSITIONS crystal
I 0.0000 0.0000 0.0000
Tl 0.5000 0.5000 0.5000
O 0.0000 0.0000 0.5000
N 0.0000 0.5000 0.0000
N 0.5000 0.0000 0.0000
```

=====

[3]
DFT (PBE) results for TlIN2O after structural relaxation. Values from VASP.

space-group type	No. 123
spin magnetization	2.9	Bohr magnetons per cell
formation energy from raw total energies	1843.6	meV/atom
raw total energy	-0.2397	Ry per atom

The structure in Quantum ESPRESSO input format:
```
&SYSTEM
  ibrav = 0, nat = 5, ntyp = 4
/
ATOMIC_SPECIES
I 126.90 I.upf
Tl 204.38 Tl.upf
O 16.00 O.upf
N 14.01 N.upf
CELL_PARAMETERS angstrom
4.6173 0.0000 0.0000
0.0000 4.6173 0.0000
0.0000 0.0000 4.3904
ATOMIC_POSITIONS crystal
I 0.5000 0.5000 0.5000
Tl 0.0000 0.0000 0.0000
O 0.0000 0.0000 0.5000
N 0.0000 0.5000 0.0000
N 0.5000 0.0000 0.0000
```